[1]
Below is a geometry-optimized AlSi2Tc structure, with properties calculated at the PBEsol level.

Structure (extended XYZ):
```
4
Lattice="3.093 0.000 0.000 0.000 4.096 0.000 -1.547 0.000 4.545" Properties=species:S:1:pos:R:3 pbc="T T T"
Al 1.547 2.048 1.893
Si 0.000 0.000 0.220
Si 0.000 2.048 4.017
Tc 0.000 0.000 2.776
```

## Properties
Raw formation energy ... -0.970 eV per formula unit


[2]
Below is a geometry-optimized Pb2OF2 structure, with properties calculated at the PBEsol level.

Structure (extended XYZ):
```
20
Lattice="5.699 0.000 0.000 0.000 8.145 0.000 0.000 0.000 8.145" Properties=species:S:1:pos:R:3 pbc="T T T"
O 5.219 4.072 0.000
F 0.000 6.420 1.725
F 2.850 5.797 2.348
Pb 4.617 1.832 4.072
Pb 1.768 0.000 5.904
Pb 3.931 2.241 0.000
F 0.000 1.725 6.420
F 2.850 2.348 2.348
O 0.480 0.000 4.072
F 0.000 6.420 6.420
F 0.000 1.725 1.725
O 3.330 0.000 4.072
Pb 1.768 0.000 2.241
Pb 1.082 4.072 1.832
F 2.850 2.348 5.797
Pb 1.082 4.072 6.313
O 2.369 4.072 0.000
Pb 3.931 5.904 0.000
F 2.850 5.797 5.797
Pb 4.617 6.313 4.072
```

## Properties
Raw formation energy ... -9.298 eV per formula unit


[3]
Below is a geometry-optimized K2HgSbI6 structure, with properties calculated at the PBEsol level.

Structure (extended XYZ):
```
10
Lattice="8.477 0.000 0.000 4.238 7.341 0.000 4.238 2.447 6.921" Properties=species:S:1:pos:R:3 pbc="T T T"
I 8.477 2.428 1.717
Hg 8.477 4.894 3.461
I 10.612 6.127 1.717
I 10.612 3.661 5.204
Sb 0.000 0.000 0.000
I 6.341 3.661 5.204
I 6.341 6.127 1.717
K 12.715 7.341 5.191
I 8.477 7.360 5.204
K 4.238 2.447 1.730
```

## Properties
Raw formation energy ... -6.892 eV per formula unit


[4]
Below is a geometry-optimized ZnMo3H structure, with properties calculated at the PBEsol level.

Structure (extended XYZ):
```
5
Lattice="4.514 0.000 0.000 0.000 4.514 0.000 0.000 0.000 4.514" Properties=species:S:1:pos:R:3 pbc="T T T"
Zn 0.000 0.000 0.000
H 2.257 2.257 2.257
Mo 2.257 0.000 0.000
Mo 0.000 0.000 2.257
Mo 0.000 2.257 0.000
```


[5]
Below is a geometry-optimized SrY2Zn structure, with properties calculated at the PBEsol level.

Structure (extended XYZ):
```
4
Lattice="-1.837 5.065 0.285 -2.098 1.853 4.613 2.679 3.682 2.894" Properties=species:S:1:pos:R:3 pbc="T T T"
Zn -0.628 5.300 3.896
Sr 0.000 0.000 0.000
Y -0.314 2.650 1.948
Y -0.942 7.951 5.844
```

## Properties
Energy of formation ... 18.7 kJ per mole of atoms


[6]
Below is a geometry-optimized SiAs2P structure, with properties calculated at the PBEsol level.

Structure (extended XYZ):
```
8
Lattice="-3.252 1.789 3.452 -3.875 -1.128 -3.067 3.152 -6.365 2.546" Properties=species:S:1:pos:R:3 pbc="T T T"
Si -3.564 0.331 0.193
As -2.106 -4.365 2.139
P -2.144 -3.581 -0.164
As -3.524 -0.442 2.521
As 1.488 -4.686 1.970
As -3.810 -1.914 -0.766
Si -1.832 -2.122 3.096
P 0.000 0.000 0.000
```

## Properties
Offset from the most stable computed form ... 275.1 meV/atom
Raw formation energy ... 1.382 eV per formula unit


The records above yield total magnetic moment values of 0.0000, 0.0000, 0.0000, 0.0000, 0.0000, 0.0000 μB per atom, respectively.
The records above yield final energy values of -6.96, -5.28, -2.49, -5.44, -4.07, -5.09 eV per atom, respectively.